Compound: Li2AsAu
Source: Alexandria
Functional: PBE
Structure: optimized geometry

CIF file:
```
data_Li2AsAu
_cell_length_a 8.7719
_cell_length_b 8.7719
_cell_length_c 8.7719
_cell_angle_alpha 19.34
_cell_angle_beta 19.34
_cell_angle_gamma 19.34
_symmetry_space_group_name_H-M 'P 1'
_symmetry_Int_Tables_number 1
loop_
_symmetry_equiv_pos_as_xyz
'x,y,z'
loop_
_atom_site_label
_atom_site_fract_x
_atom_site_fract_y
_atom_site_fract_z
Li1 0.0000 0.0000 0.0000
Li2 0.1727 0.1727 0.1727
As1 0.5861 0.5861 0.5861
Au1 0.4199 0.4199 0.4199
```

Calculated formation energy (eV/atom): -0.410
Total magnetization (μB/cell): 0.00
Symmetry: R3m (160)
Fermi-level density of states (states/eV per atom): 0.19

---

Compound: CsRb2BiPt
Source: Alexandria
Functional: PBE
Structure: optimized geometry

CIF file:
```
data_CsRb2BiPt
_cell_length_a 6.5516
_cell_length_b 6.5516
_cell_length_c 5.3866
_cell_angle_alpha 90.00
_cell_angle_beta 90.00
_cell_angle_gamma 90.00
_symmetry_space_group_name_H-M 'P 1'
_symmetry_Int_Tables_number 1
loop_
_symmetry_equiv_pos_as_xyz
'x,y,z'
loop_
_atom_site_label
_atom_site_fract_x
_atom_site_fract_y
_atom_site_fract_z
Cs1 0.0000 0.0000 0.0000
Rb1 0.0000 0.5000 0.5000
Rb2 0.5000 0.0000 0.5000
Bi1 0.5000 0.5000 0.0000
Pt1 0.5000 0.5000 0.5000
```

Calculated formation energy (eV/atom): -0.127
Total magnetization (μB/cell): 0.26
Symmetry: P4/mmm (123)
Fermi-level density of states (states/eV per atom): 0.71

---

Compound: ScTaCoGe2
Source: Alexandria
Functional: PBE
Structure: optimized geometry

CIF file:
```
data_ScTaCoGe2
_cell_length_a 4.8743
_cell_length_b 4.8743
_cell_length_c 4.1183
_cell_angle_alpha 90.00
_cell_angle_beta 90.00
_cell_angle_gamma 90.00
_symmetry_space_group_name_H-M 'P 1'
_symmetry_Int_Tables_number 1
loop_
_symmetry_equiv_pos_as_xyz
'x,y,z'
loop_
_atom_site_label
_atom_site_fract_x
_atom_site_fract_y
_atom_site_fract_z
Sc1 0.0000 0.0000 0.0000
Ta1 0.5000 0.5000 0.5000
Co1 0.0000 0.0000 0.5000
Ge1 0.0000 0.5000 0.0000
Ge2 0.5000 0.0000 0.0000
```

Calculated formation energy (eV/atom): 1.158
Total magnetization (μB/cell): 0.00
Symmetry: P4/mmm (123)
Fermi-level density of states (states/eV per atom): 0.78

---

Compound: Tb2CdPb3
Source: Alexandria
Functional: PBE
Structure: optimized geometry

CIF file:
```
data_Tb2CdPb3
_cell_length_a 8.9159
_cell_length_b 8.9159
_cell_length_c 5.1010
_cell_angle_alpha 90.00
_cell_angle_beta 90.00
_cell_angle_gamma 70.61
_symmetry_space_group_name_H-M 'P 1'
_symmetry_Int_Tables_number 1
loop_
_symmetry_equiv_pos_as_xyz
'x,y,z'
loop_
_atom_site_label
_atom_site_fract_x
_atom_site_fract_y
_atom_site_fract_z
Tb1 0.0021 0.7513 0.7500
Tb2 0.2487 0.9979 0.7500
Tb3 0.7513 0.0021 0.2500
Tb4 0.9979 0.2487 0.2500
Cd1 0.1757 0.8243 0.2500
Cd2 0.8243 0.1757 0.7500
Pb1 0.1492 0.3818 0.7500
Pb2 0.3818 0.1492 0.2500
Pb3 0.3957 0.6043 0.7500
Pb4 0.6043 0.3957 0.2500
Pb5 0.6182 0.8508 0.7500
Pb6 0.8508 0.6182 0.2500
```

Calculated formation energy (eV/atom): -0.139
Total magnetization (μB/cell): 0.00
Symmetry: Cmcm (63)
Fermi-level density of states (states/eV per atom): 0.66